# 1
Computed, not measured: a relaxed structure of Pt at the PBE level of DFT.

Cell lengths 2.713, 4.901, 4.654 Å; angles 90.00, 90.00, 90.00 degrees
Atoms (fractional coordinates):
Pt (0.000, 0.151, 0.250)
Pt (0.000, 0.849, 0.750)
Pt (0.500, 0.349, 0.750)
Pt (0.500, 0.651, 0.250)

## Properties
Its electronic total energy is -23.933 eV per cell. For the energy of formation, the calculation gives 0.073 eV per atom. For the magnetic moment, the calculation gives 0.02 μB per atom. The space group is Cmcm (63).


# 2
Computed, not measured: a relaxed structure of AcFe at the PBE level of DFT.

Cell lengths 4.785, 4.785, 4.989 Å; angles 90.00, 90.00, 120.00 degrees
Atoms (fractional coordinates):
Ac (0.333, 0.667, 0.250)
Ac (0.667, 0.333, 0.750)
Fe (0.000, 0.000, 0.000)
Fe (0.000, 0.000, 0.500)

## Properties
Its electronic total energy is -23.495 eV per cell. For the energy of formation, the calculation gives 0.334 eV per atom. For the magnetic moment, the calculation gives 0.66 μB per atom. The space group is P6_3/mmc (194).


# 3
Computed, not measured: a relaxed structure of ScBeFeBi at the PBE level of DFT.

Cell lengths 6.332, 6.332, 6.332 Å; angles 90.00, 90.00, 90.00 degrees
Atoms (fractional coordinates):
Sc (0.000, 0.000, 0.000)
Sc (0.000, 0.500, 0.500)
Sc (0.500, 0.000, 0.500)
Sc (0.500, 0.500, 0.000)
Be (0.250, 0.250, 0.250)
Be (0.250, 0.750, 0.750)
Be (0.750, 0.250, 0.750)
Be (0.750, 0.750, 0.250)
Fe (0.250, 0.250, 0.750)
Fe (0.250, 0.750, 0.250)
Fe (0.750, 0.250, 0.250)
Fe (0.750, 0.750, 0.750)
Bi (0.000, 0.000, 0.500)
Bi (0.000, 0.500, 0.000)
Bi (0.500, 0.000, 0.000)
Bi (0.500, 0.500, 0.500)

## Properties
Its electronic total energy is -85.433 eV per cell. For the magnetic moment, the calculation gives 0.00 μB per atom. The space group is F-43m (216).


# 4
Computed, not measured: a relaxed structure of Na4Pa4O11 at the PBE level of DFT.

Cell lengths 5.838, 6.003, 8.403 Å; angles 90.63, 90.03, 90.28 degrees
Atoms (fractional coordinates):
Na (0.000, 0.000, 0.000)
Na (0.003, 0.093, 0.537)
Na (0.499, 0.586, 0.526)
Na (0.507, 0.528, 0.016)
Pa (0.004, 0.544, 0.763)
Pa (0.501, 0.048, 0.765)
Pa (0.517, 0.059, 0.269)
Pa (0.993, 0.582, 0.270)
O (0.114, 0.485, 0.513)
O (0.185, 0.234, 0.823)
O (0.306, 0.767, 0.195)
O (0.317, 0.736, 0.815)
O (0.390, 0.003, 0.518)
O (0.607, 0.106, 0.013)
O (0.662, 0.397, 0.308)
O (0.694, 0.350, 0.702)
O (0.812, 0.851, 0.711)
O (0.836, 0.899, 0.325)
O (0.900, 0.593, 0.010)

## Properties
Its electronic total energy is -144.495 eV per cell. For the magnetic moment, the calculation gives 0.11 μB per atom. The space group is P1 (1).


# 5
Computed, not measured: a relaxed structure of TbTlPO at the PBE level of DFT.

Cell lengths 4.060, 7.951, 5.794 Å; angles 90.00, 90.00, 90.00 degrees
Atoms (fractional coordinates):
Tb (0.000, 0.185, 0.000)
Tb (0.000, 0.815, 0.500)
Tl (0.500, 0.376, 0.532)
Tl (0.500, 0.624, 0.032)
P (0.000, 0.167, 0.495)
P (0.000, 0.833, 0.995)
O (0.500, 0.291, 0.988)
O (0.500, 0.709, 0.488)

## Properties
Its electronic total energy is -44.356 eV per cell. For the magnetic moment, the calculation gives 0.03 μB per atom. The space group is Pmc2_1 (26).


# 6
Computed, not measured: a relaxed structure of HfTa3Co2 at the PBE level of DFT.

Cell lengths 6.158, 5.026, 5.034 Å; angles 75.49, 52.20, 52.31 degrees
Atoms (fractional coordinates):
Hf (0.000, 0.000, 0.000)
Ta (0.176, 0.499, 0.501)
Ta (0.499, 0.176, 0.824)
Ta (0.676, 0.676, 0.324)
Co (0.088, 0.088, 0.412)
Co (0.588, 0.588, 0.912)

## Properties
Its electronic total energy is -61.185 eV per cell. For the energy of formation, the calculation gives -0.243 eV per atom. For the magnetic moment, the calculation gives 0.00 μB per atom. The space group is Fmm2 (42).


# 7
Computed, not measured: a relaxed structure of LiCdGaCo at the PBE level of DFT.

Cell lengths 6.116, 6.116, 6.116 Å; angles 90.00, 90.00, 90.00 degrees
Atoms (fractional coordinates):
Li (0.000, 0.000, 0.000)
Li (0.000, 0.500, 0.500)
Li (0.500, 0.000, 0.500)
Li (0.500, 0.500, 0.000)
Cd (0.250, 0.250, 0.750)
Cd (0.250, 0.750, 0.250)
Cd (0.750, 0.250, 0.250)
Cd (0.750, 0.750, 0.750)
Ga (0.250, 0.250, 0.250)
Ga (0.250, 0.750, 0.750)
Ga (0.750, 0.250, 0.750)
Ga (0.750, 0.750, 0.250)
Co (0.000, 0.000, 0.500)
Co (0.000, 0.500, 0.000)
Co (0.500, 0.000, 0.000)
Co (0.500, 0.500, 0.500)

## Properties
Its electronic total energy is -53.247 eV per cell. For the magnetic moment, the calculation gives 0.04 μB per atom. The space group is F-43m (216).


# 8
Computed, not measured: a relaxed structure of HoNb3C2Se2 at the PBE level of DFT.

Cell lengths 3.442, 3.442, 12.378 Å; angles 90.00, 90.00, 120.00 degrees
Atoms (fractional coordinates):
Ho (0.000, 0.000, 0.000)
Nb (0.000, 0.000, 0.676)
Nb (0.667, 0.333, 0.198)
Nb (0.667, 0.333, 0.507)
C (0.333, 0.667, 0.113)
C (0.333, 0.667, 0.590)
Se (0.000, 0.000, 0.351)
Se (0.667, 0.333, 0.827)

## Properties
Its electronic total energy is -66.289 eV per cell. For the magnetic moment, the calculation gives 0.00 μB per atom. The space group is P3m1 (156).


# 9
Computed, not measured: a relaxed structure of HfZr2 at the PBE level of DFT.

Cell lengths 3.217, 16.740, 5.131 Å; angles 90.00, 90.00, 90.00 degrees
Atoms (fractional coordinates):
Hf (0.000, 0.055, 0.250)
Hf (0.000, 0.945, 0.750)
Hf (0.500, 0.445, 0.750)
Hf (0.500, 0.555, 0.250)
Zr (0.000, 0.279, 0.750)
Zr (0.000, 0.391, 0.250)
Zr (0.000, 0.609, 0.750)
Zr (0.000, 0.721, 0.250)
Zr (0.500, 0.109, 0.750)
Zr (0.500, 0.221, 0.250)
Zr (0.500, 0.779, 0.750)
Zr (0.500, 0.891, 0.250)

## Properties
Its electronic total energy is -108.208 eV per cell. For the energy of formation, the calculation gives -0.001 eV per atom. For the magnetic moment, the calculation gives 0.00 μB per atom. The space group is Cmcm (63).


# 10
Computed, not measured: a relaxed structure of AsPAuO at the PBE level of DFT.

Cell lengths 3.509, 5.833, 6.919 Å; angles 90.00, 90.00, 90.00 degrees
Atoms (fractional coordinates):
As (0.000, 0.039, 0.000)
As (0.000, 0.961, 0.500)
P (0.500, 0.289, 0.908)
P (0.500, 0.711, 0.408)
Au (0.500, 0.360, 0.579)
Au (0.500, 0.640, 0.079)
O (0.000, 0.150, 0.293)
O (0.000, 0.850, 0.793)

## Properties
Its electronic total energy is -37.876 eV per cell. The space group is Pmc2_1 (26).


# 11
Computed, not measured: a relaxed structure of Sc4CdTeC2 at the PBE level of DFT.

Cell lengths 3.436, 3.436, 14.485 Å; angles 90.00, 90.00, 120.00 degrees
Atoms (fractional coordinates):
Sc (0.000, 0.000, 0.154)
Sc (0.000, 0.000, 0.846)
Sc (0.333, 0.667, 0.320)
Sc (0.333, 0.667, 0.680)
Cd (0.000, 0.000, 0.500)
Te (0.333, 0.667, 0.000)
C (0.667, 0.333, 0.236)
C (0.667, 0.333, 0.764)

## Properties
Its electronic total energy is -52.784 eV per cell. For the magnetic moment, the calculation gives 0.07 μB per atom. The space group is P-6m2 (187).


# 12
Computed, not measured: a relaxed structure of ThBeIr at the PBE level of DFT.

Cell lengths 6.165, 6.165, 6.165 Å; angles 90.00, 90.00, 90.00 degrees
Atoms (fractional coordinates):
Th (0.000, 0.000, 0.000)
Th (0.000, 0.500, 0.500)
Th (0.500, 0.000, 0.500)
Th (0.500, 0.500, 0.000)
Be (0.250, 0.250, 0.750)
Be (0.250, 0.750, 0.250)
Be (0.750, 0.250, 0.250)
Be (0.750, 0.750, 0.750)
Ir (0.000, 0.000, 0.500)
Ir (0.000, 0.500, 0.000)
Ir (0.500, 0.000, 0.000)
Ir (0.500, 0.500, 0.500)

## Properties
Its electronic total energy is -82.099 eV per cell. For the magnetic moment, the calculation gives 0.01 μB per atom. The space group is F-43m (216).